(1)
The following is a DFT calculation (GGA-PBE) of an optimized crystal structure of PrNi2SnN.

Cell: 6.3889 6.3889 7.2403 Å, 90.00 90.00 146.52°
Element x y z (fractional)
1 Pr 0.0298 0.9702 0.7500
2 Pr 0.9702 0.0298 0.2500
3 Ni 0.3498 0.6502 0.5472
4 Ni 0.3498 0.6502 0.9528
5 Ni 0.6502 0.3498 0.0472
6 Ni 0.6502 0.3498 0.4528
7 Sn 0.2369 0.7631 0.2500
8 Sn 0.7631 0.2369 0.7500
9 N 0.5000 0.5000 0.0000
10 N 0.5000 0.5000 0.5000

Values from the calculation:
The spin magnetization comes out at 0.0 μB/f.u. For the theoretical density, the calculation gives 7.97 Mg/m³. As for the density of states at the Fermi level: 3.06 states/eV/f.u. For the uncorrected formation energy, the calculation gives -0.572 eV/atom.



(2)
The following is a DFT calculation (GGA-PBE) of an optimized crystal structure of NiSn4Pd15.

Cell: 4.0321 4.0321 19.8675 Å, 90.00 90.00 90.00°
Element x y z (fractional)
1 Ni 0.0000 0.0000 0.0000
2 Sn 0.0000 0.0000 0.1927
3 Sn 0.0000 0.0000 0.3977
4 Sn 0.0000 0.0000 0.6023
5 Sn 0.0000 0.0000 0.8073
6 Pd 0.0000 0.5000 0.0931
7 Pd 0.0000 0.5000 0.2957
8 Pd 0.0000 0.5000 0.5000
9 Pd 0.0000 0.5000 0.7043
10 Pd 0.0000 0.5000 0.9069
11 Pd 0.5000 0.0000 0.0931
12 Pd 0.5000 0.0000 0.2957
13 Pd 0.5000 0.0000 0.5000
14 Pd 0.5000 0.0000 0.7043
15 Pd 0.5000 0.0000 0.9069
16 Pd 0.5000 0.5000 0.0000
17 Pd 0.5000 0.5000 0.1946
18 Pd 0.5000 0.5000 0.3979
19 Pd 0.5000 0.5000 0.6021
20 Pd 0.5000 0.5000 0.8054

Values from the calculation:
The spin magnetization comes out at 1.4 μB/f.u. For the theoretical density, the calculation gives 10.95 Mg/m³. As for the density of states at the Fermi level: 17.80 states/eV/f.u. The formation energy comes out at -380 meV/atom.



(3)
The following is a DFT calculation (GGA-PBE) of an optimized crystal structure of CaLa2PbO.

Cell: 5.1105 5.1105 4.9021 Å, 90.00 90.00 90.00°
Element x y z (fractional)
1 Ca 0.0000 0.0000 0.0000
2 La 0.0000 0.5000 0.5000
3 La 0.5000 0.0000 0.5000
4 Pb 0.5000 0.5000 0.0000
5 O 0.0000 0.0000 0.5000

Values from the calculation:
The spin magnetization comes out at 0.0 μB/f.u. For the theoretical density, the calculation gives 7.02 Mg/m³. As for the density of states at the Fermi level: 4.19 states/eV/f.u. For the uncorrected formation energy, the calculation gives -1.437 eV/atom.



(4)
The following is a DFT calculation (GGA-PBE) of an optimized crystal structure of La2GaPdO6.

Cell: 5.5903 8.0042 5.7584 Å, 90.00 90.00 90.00°
Element x y z (fractional)
1 La 0.2500 0.0186 0.2232
2 La 0.2500 0.4814 0.2232
3 La 0.7500 0.5186 0.7768
4 La 0.7500 0.9814 0.7768
5 Ga 0.2500 0.7500 0.7494
6 Ga 0.7500 0.2500 0.2506
7 Pd 0.2500 0.2500 0.7380
8 Pd 0.7500 0.7500 0.2620
9 O 0.0017 0.2500 0.0001
10 O 0.0141 0.2500 0.4629
11 O 0.2500 0.5071 0.7843
12 O 0.2500 0.9929 0.7843
13 O 0.4859 0.2500 0.4629
14 O 0.4983 0.2500 0.0001
15 O 0.5017 0.7500 0.9999
16 O 0.5141 0.7500 0.5371
17 O 0.7500 0.0071 0.2157
18 O 0.7500 0.4929 0.2157
19 O 0.9859 0.7500 0.5371
20 O 0.9983 0.7500 0.9999

Values from the calculation:
The spin magnetization comes out at 0.0 μB/f.u. For the theoretical density, the calculation gives 7.09 Mg/m³. As for the density of states at the Fermi level: 2.04 states/eV/f.u. For the uncorrected formation energy, the calculation gives -2.145 eV/atom.



(5)
The following is a DFT calculation (GGA-PBE) of an optimized crystal structure of LiSiSe2.

Cell: 6.3723 3.6870 6.7816 Å, 90.00 108.30 90.00°
Element x y z (fractional)
1 Li 0.0000 0.0000 0.0000
2 Li 0.5000 0.5000 0.0000
3 Si 0.0000 0.5000 0.5000
4 Si 0.5000 0.0000 0.5000
5 Se 0.2437 0.0000 0.7298
6 Se 0.2563 0.5000 0.2702
7 Se 0.7437 0.5000 0.7298
8 Se 0.7563 0.0000 0.2702

Values from the calculation:
The spin magnetization comes out at 0.0 μB/f.u. For the theoretical density, the calculation gives 4.24 Mg/m³. As for the density of states at the Fermi level: 1.31 states/eV/f.u. For the uncorrected formation energy, the calculation gives -0.549 eV/atom.



(6)
The following is a DFT calculation (GGA-PBE) of an optimized crystal structure of GaI2.

Cell: 4.2582 5.1745 6.4343 Å, 90.00 90.00 90.00°
Element x y z (fractional)
1 Ga 0.0000 0.0000 0.0000
2 I 0.0000 0.5000 0.1559
3 I 0.5000 0.0000 0.7154

Values from the calculation:
The spin magnetization comes out at 0.0 μB/f.u. For the theoretical density, the calculation gives 3.79 Mg/m³. As for the density of states at the Fermi level: 1.17 states/eV/f.u. Its energy above the most stable polymorph in this dataset is 121 meV/atom. For the uncorrected formation energy, the calculation gives -0.338 eV/atom.



Among the records above, which one has the highest spin magnetization?
NiSn4Pd15